Zr2ZnAg2F14 | meta-GGA SCAN | single point on PBEsol structure

Computed properties:
E_tot (eV per atom): -12.7399
Space-group type: C2/m, No. 12
Energy relative to the elements, uncorrected (eV/atom): -2.887

Unit cell a=5.5905 b=5.5905 c=9.1300 alpha=89.53 beta=89.53 gamma=72.58
Element x y z (fractional)
1 Ag 0.3096 0.3096 0.3897
2 Zn 0.5000 0.5000 0.0000
3 F 0.3060 0.3060 0.8857
4 Zr 0.8941 0.8941 0.2058
5 F 0.3598 0.9996 0.6188
6 F 0.6402 0.0004 0.3812
7 F 0.7856 0.3819 0.8561
8 F 0.1015 0.1015 0.2870
9 F 0.6181 0.2144 0.1439
10 F 0.2144 0.6181 0.1439
11 F 0.6940 0.6940 0.1143
12 F 0.3819 0.7856 0.8561
13 F 0.0004 0.6402 0.3812
14 F 0.5000 0.5000 0.5000
15 F 0.9996 0.3598 0.6188
16 Ag 0.6904 0.6904 0.6103
17 F 0.8985 0.8985 0.7130
18 F 0.0000 0.0000 0.0000
19 Zr 0.1059 0.1059 0.7942



Zr2Ag3F14 | meta-GGA SCAN | single point on PBEsol structure

Computed properties:
E_tot (eV per atom): -13.4684
Space-group type: C2/m, No. 12
Energy relative to the elements, uncorrected (eV/atom): -2.676

Unit cell a=5.7514 b=5.7514 c=9.1160 alpha=88.89 beta=88.89 gamma=71.26
Element x y z (fractional)
1 Ag 0.6859 0.6859 0.6036
2 F 0.2382 0.6412 0.1637
3 F 0.5000 0.5000 0.5000
4 F 0.7618 0.3588 0.8363
5 F 0.6521 0.0110 0.3895
6 F 0.2732 0.2732 0.8771
7 Zr 0.9110 0.9110 0.2173
8 F 0.3479 0.9890 0.6105
9 Ag 0.5000 0.5000 0.0000
10 F 0.6412 0.2382 0.1637
11 F 0.9890 0.3479 0.6105
12 F 0.7268 0.7268 0.1229
13 F 0.8848 0.8848 0.7081
14 Zr 0.0890 0.0890 0.7827
15 F 0.1152 0.1152 0.2919
16 F 0.0000 0.0000 0.0000
17 F 0.0110 0.6521 0.3895
18 Ag 0.3141 0.3141 0.3964
19 F 0.3588 0.7618 0.8363



ZrAg2F | meta-GGA SCAN | single point on PBEsol structure

Computed properties:
E_tot (eV per atom): -24.4276
Space-group type: Fm-3m, No. 225
Energy relative to the elements, uncorrected (eV/atom): -0.184

Unit cell a=4.5860 b=4.5860 c=4.5860 alpha=60.00 beta=60.00 gamma=60.00
Element x y z (fractional)
1 F 0.0000 0.0000 0.0000
2 Zr 0.5000 0.5000 0.5000
3 Ag 0.7500 0.7500 0.7500
4 Ag 0.2500 0.2500 0.2500



FeAg | meta-GGA SCAN | single point on PBEsol structure

Computed properties:
E_tot (eV per atom): -24.4149
ΔH_f (0 K) (eV per atom): 0.333
Space-group type: P4/mmm, No. 123

Unit cell a=2.6660 b=2.6660 c=3.9683 alpha=90.00 beta=90.00 gamma=90.00
Element x y z (fractional)
1 Ag 0.0000 0.0000 0.0000
2 Fe 0.5000 0.5000 0.5000



FeAg | meta-GGA SCAN | single point on PBEsol structure

Computed properties:
E_tot (eV per atom): -23.9928
ΔH_f (0 K) (eV per atom): 0.756
Space-group type: P6_3/mmc, No. 194

Unit cell a=4.0750 b=4.0750 c=4.5292 alpha=90.00 beta=90.00 gamma=120.00
Element x y z (fractional)
1 Fe 0.0000 0.0000 0.0000
2 Ag 0.6667 0.3333 0.7500
3 Ag 0.3333 0.6667 0.2500
4 Fe 0.0000 0.0000 0.5000



FeAg | meta-GGA SCAN | single point on PBEsol structure

Computed properties:
E_tot (eV per atom): -24.3866
ΔH_f (0 K) (eV per atom): 0.362
Space-group type: Cmmm, No. 65

Unit cell a=2.6130 b=2.6130 c=4.4393 alpha=90.00 beta=90.00 gamma=110.35
Element x y z (fractional)
1 Ag 0.0000 0.0000 0.0000
2 Fe 0.5000 0.5000 0.5000



FeAg | meta-GGA SCAN | single point on PBEsol structure

Computed properties:
E_tot (eV per atom): -23.2354
ΔH_f (0 K) (eV per atom): 1.513
Space-group type: F-43m, No. 216

Unit cell a=3.9750 b=3.9750 c=3.9750 alpha=60.00 beta=60.00 gamma=60.00
Element x y z (fractional)
1 Ag 0.0000 0.0000 0.0000
2 Fe 0.7500 0.7500 0.7500



Fe2Ag | meta-GGA SCAN | single point on PBEsol structure

Computed properties:
E_tot (eV per atom): -22.2807
ΔH_f (0 K) (eV per atom): 0.261
Space-group type: P-3m1, No. 164

Unit cell a=2.7281 b=2.7281 c=6.2204 alpha=90.00 beta=90.00 gamma=120.00
Element x y z (fractional)
1 Fe 0.3333 0.6667 0.3612
2 Ag 0.0000 0.0000 0.0000
3 Fe 0.6667 0.3333 0.6388



Ga3FeAg | meta-GGA SCAN | single point on PBEsol structure

Computed properties:
Excess energy over the best structure of this formula in the dataset (kJ/mol of formula units): 0
E_tot (eV per atom): -19.4913
ΔH_f (0 K) (eV per atom): 0.216
Space-group type: Pm-3m, No. 221

Unit cell a=4.4757 b=4.4757 c=4.4757 alpha=90.00 beta=90.00 gamma=90.00
Element x y z (fractional)
1 Ag 0.5000 0.5000 0.5000
2 Ga 0.5000 0.0000 0.0000
3 Ga 0.0000 0.0000 0.5000
4 Fe 0.0000 0.0000 0.0000
5 Ga 0.0000 0.5000 0.0000



Ti2GaFeAg | meta-GGA SCAN | single point on PBEsol structure

Computed properties:
E_tot (eV per atom): -18.5316
ΔH_f (0 K) (eV per atom): 1.049
Space-group type: P4/mmm, No. 123

Unit cell a=4.5085 b=4.8507 c=4.8507 alpha=90.00 beta=90.00 gamma=90.00
Element x y z (fractional)
1 Ti 0.0000 0.5000 0.0000
2 Fe 0.5000 0.5000 0.5000
3 Ga 0.5000 0.0000 0.0000
4 Ag 0.0000 0.0000 0.0000
5 Ti 0.0000 0.0000 0.5000



FeAgGe2 | meta-GGA SCAN | single point on PBEsol structure

Computed properties:
E_tot (eV per atom): -21.5750
ΔH_f (0 K) (eV per atom): 0.343
Space-group type: Fm-3m, No. 225

Unit cell a=4.4208 b=4.4208 c=4.4208 alpha=60.00 beta=60.00 gamma=60.00
Element x y z (fractional)
1 Ge 0.2500 0.2500 0.2500
2 Fe 0.0000 0.0000 0.0000
3 Ag 0.5000 0.5000 0.5000
4 Ge 0.7500 0.7500 0.7500



FeAgGe2S | meta-GGA SCAN | single point on PBEsol structure

Computed properties:
E_tot (eV per atom): -19.0353
Space-group type: P4/mmm, No. 123
Energy relative to the elements, uncorrected (eV/atom): 0.425

Unit cell a=4.1107 b=4.6781 c=4.6781 alpha=90.00 beta=90.00 gamma=90.00
Element x y z (fractional)
1 Fe 0.0000 0.0000 0.0000
2 S 0.5000 0.0000 0.0000
3 Ge 0.0000 0.0000 0.5000
4 Ge 0.0000 0.5000 0.0000
5 Ag 0.5000 0.5000 0.5000